ErTm2Al3: optimized geometry, PBE.

Computed properties:
**Excess energy over the best structure of this formula in the dataset**: 0.000 kcal/mol of atoms
**Crystal system**: tetragonal

Geometry as extended XYZ:
```
6
Lattice="3.554 0.000 0.000 0.000 3.554 0.000 0.000 0.000 10.674" Properties=species:S:1:pos:R:3 pbc="T T T"
Er 0.000 0.000 0.000
Tm 0.000 0.000 3.565
Tm 0.000 0.000 7.108
Al 1.777 1.777 1.797
Al 1.777 1.777 5.337
Al 1.777 1.777 8.877
```

***

CoAsS2Cl: optimized geometry, PBE.

Computed properties:
**Excess energy over the best structure of this formula in the dataset**: 0.000 kcal/mol of atoms
**Crystal system**: tetragonal
**E_form (uncorrected)**: 8.27 kcal/mol of atoms

Geometry as extended XYZ:
```
5
Lattice="4.477 0.000 0.000 0.000 4.477 0.000 0.000 0.000 4.413" Properties=species:S:1:pos:R:3 pbc="T T T"
Co 0.000 0.000 0.000
As 2.238 2.238 2.207
S 0.000 2.238 0.000
S 2.238 0.000 0.000
Cl 0.000 0.000 2.207
```

***

Which value of excess energy over the best structure of this formula in the dataset does entry 2 give?
0.000 kcal/mol of atoms

***

excess energy over the best structure of this formula in the dataset of number 1 (ErTm2Al3)?
0.000 kcal/mol of atoms

***

What did the second record say?
CoAsS2Cl: optimized geometry, PBE.

Computed properties:
**Excess energy over the best structure of this formula in the dataset**: 0.000 kcal/mol of atoms
**Crystal system**: tetragonal
**E_form (uncorrected)**: 8.27 kcal/mol of atoms

Geometry as extended XYZ:
```
5
Lattice="4.477 0.000 0.000 0.000 4.477 0.000 0.000 0.000 4.413" Properties=species:S:1:pos:R:3 pbc="T T T"
Co 0.000 0.000 0.000
As 2.238 2.238 2.207
S 0.000 2.238 0.000
S 2.238 0.000 0.000
Cl 0.000 0.000 2.207
```

***

Please write out number 1 again, unchanged.
ErTm2Al3: optimized geometry, PBE.

Computed properties:
**Excess energy over the best structure of this formula in the dataset**: 0.000 kcal/mol of atoms
**Crystal system**: tetragonal

Geometry as extended XYZ:
```
6
Lattice="3.554 0.000 0.000 0.000 3.554 0.000 0.000 0.000 10.674" Properties=species:S:1:pos:R:3 pbc="T T T"
Er 0.000 0.000 0.000
Tm 0.000 0.000 3.565
Tm 0.000 0.000 7.108
Al 1.777 1.777 1.797
Al 1.777 1.777 5.337
Al 1.777 1.777 8.877
```